A plane-wave DFT calculation with PBE was carried out for crystalline TmBe2Si at its relaxed geometry.

Properties
For the density of states at the Fermi level, the calculation gives 4.1 states/eV per cell. As for the formation energy (no corrections): -90.6 kJ/mol of formula units.

Lattice parameters (Å, degrees): 3.7464 3.7464 14.4044 90.00 90.00 120.00
Last column: nearest neighbours and their distance in Å.
Space group R-3m (No. 166, hexagonal axes)
Inequivalent atoms, fractional coordinates:
Tm (0.0000, 0.0000, 0.0000) (multiplicity 3)  8 Be 2.86-2.93
Be (0.0000, 0.0000, 0.2031) (multiplicity 6)  3 Si 2.23, 3 Be 2.40
Si (0.0000, 0.0000, 0.5000) (multiplicity 3)  6 Be 2.23